## 1
Entry from Alexandria via LeMat-Bulk: LaReAs2Se after structural relaxation (PBE).

The structure in CIF format:
```
data_LaReAs2Se
_symmetry_space_group_name_H-M 'P 4/m m m'
_symmetry_Int_Tables_number 123
_symmetry_space_group_name_Hall '-P 4 2'
_cell_length_a 4.7170
_cell_length_b 4.7170
_cell_length_c 5.5068
_cell_angle_alpha 90.00
_cell_angle_beta 90.00
_cell_angle_gamma 90.00
loop_
_atom_site_label
_atom_site_fract_x
_atom_site_fract_y
_atom_site_fract_z
_atom_site_occupancy
La1 0.0000 0.0000 0.0000 1
Re1 0.5000 0.5000 0.5000 1
As1 0.0000 0.5000 0.5000 1
Se1 0.5000 0.5000 0.0000 1
```

For the density of states at the Fermi level, the calculation gives 0.4721 states/eV/atom. The value obtained for the magnetization is 0.0 μB/f.u.

---

## 2
Entry from Alexandria via LeMat-Bulk: LaReAs2Se after structural relaxation (PBE).

The structure in CIF format:
```
data_LaReAs2Se
_symmetry_space_group_name_H-M 'P 4/m m m'
_symmetry_Int_Tables_number 123
_symmetry_space_group_name_Hall '-P 4 2'
_cell_length_a 5.7123
_cell_length_b 5.7123
_cell_length_c 5.5910
_cell_angle_alpha 90.00
_cell_angle_beta 90.00
_cell_angle_gamma 90.00
loop_
_atom_site_label
_atom_site_fract_x
_atom_site_fract_y
_atom_site_fract_z
_atom_site_occupancy
La1 0.0000 0.0000 0.0000 1
Re1 0.5000 0.5000 0.5000 1
As1 0.0000 0.5000 0.0000 1
Se1 0.0000 0.0000 0.5000 1
```

For the density of states at the Fermi level, the calculation gives 1.1088 states/eV/atom. The value obtained for the magnetization is 3.8 μB/f.u.

---

Which structure is the least stable? The one labeled 2.

---

## 1
Entry from Alexandria via LeMat-Bulk: LaAsRh3 after structural relaxation (PBE).

The structure in CIF format:
```
data_LaAsRh3
_symmetry_space_group_name_H-M 'P m -3 m'
_symmetry_Int_Tables_number 221
_symmetry_space_group_name_Hall '-P 4 2 3'
_cell_length_a 4.8845
_cell_length_b 4.8845
_cell_length_c 4.8845
_cell_angle_alpha 90.00
_cell_angle_beta 90.00
_cell_angle_gamma 90.00
loop_
_atom_site_label
_atom_site_fract_x
_atom_site_fract_y
_atom_site_fract_z
_atom_site_occupancy
La1 0.0000 0.0000 0.0000 1
As1 0.5000 0.5000 0.5000 1
Rh1 0.0000 0.0000 0.5000 1
```

For the density of states at the Fermi level, the calculation gives 1.0641 states/eV/atom. The value obtained for the magnetization is 0.0 μB/f.u.

---

## 2
Entry from Alexandria via LeMat-Bulk: LaAsRh3 after structural relaxation (PBE).

The structure in CIF format:
```
data_LaAsRh3
_symmetry_space_group_name_H-M 'P m -3 m'
_symmetry_Int_Tables_number 221
_symmetry_space_group_name_Hall '-P 4 2 3'
_cell_length_a 4.6506
_cell_length_b 4.6506
_cell_length_c 4.6506
_cell_angle_alpha 90.00
_cell_angle_beta 90.00
_cell_angle_gamma 90.00
loop_
_atom_site_label
_atom_site_fract_x
_atom_site_fract_y
_atom_site_fract_z
_atom_site_occupancy
La1 0.0000 0.0000 0.0000 1
As1 0.5000 0.5000 0.5000 1
Rh1 0.0000 0.5000 0.5000 1
```

For the density of states at the Fermi level, the calculation gives 2.2811 states/eV/atom. The value obtained for the magnetization is 0.0 μB/f.u.

---

Which structure is the least stable? The one labeled 1.

---

## 1
Entry from Alexandria via LeMat-Bulk: LaAs3Ru after structural relaxation (PBE).

The structure in CIF format:
```
data_LaAs3Ru
_symmetry_space_group_name_H-M 'P m -3 m'
_symmetry_Int_Tables_number 221
_symmetry_space_group_name_Hall '-P 4 2 3'
_cell_length_a 5.4310
_cell_length_b 5.4310
_cell_length_c 5.4310
_cell_angle_alpha 90.00
_cell_angle_beta 90.00
_cell_angle_gamma 90.00
loop_
_atom_site_label
_atom_site_fract_x
_atom_site_fract_y
_atom_site_fract_z
_atom_site_occupancy
La1 0.0000 0.0000 0.0000 1
As1 0.0000 0.0000 0.5000 1
Ru1 0.5000 0.5000 0.5000 1
```

For the density of states at the Fermi level, the calculation gives 2.0030 states/eV/atom. The value obtained for the magnetization is 0.0 μB/f.u.

---

## 2
Entry from Alexandria via LeMat-Bulk: LaAs3Ru after structural relaxation (PBE).

The structure in CIF format:
```
data_LaAs3Ru
_symmetry_space_group_name_H-M 'P m -3 m'
_symmetry_Int_Tables_number 221
_symmetry_space_group_name_Hall '-P 4 2 3'
_cell_length_a 4.8619
_cell_length_b 4.8619
_cell_length_c 4.8619
_cell_angle_alpha 90.00
_cell_angle_beta 90.00
_cell_angle_gamma 90.00
loop_
_atom_site_label
_atom_site_fract_x
_atom_site_fract_y
_atom_site_fract_z
_atom_site_occupancy
La1 0.0000 0.0000 0.0000 1
As1 0.0000 0.5000 0.5000 1
Ru1 0.5000 0.5000 0.5000 1
```

For the density of states at the Fermi level, the calculation gives 1.2291 states/eV/atom. The value obtained for the magnetization is 0.0 μB/f.u.

---

Which structure is the least stable? The one labeled 1.

---

## 1
Entry from Alexandria via LeMat-Bulk: La3AsRu after structural relaxation (PBE).

The structure in CIF format:
```
data_La3AsRu
_symmetry_space_group_name_H-M 'P m -3 m'
_symmetry_Int_Tables_number 221
_symmetry_space_group_name_Hall '-P 4 2 3'
_cell_length_a 5.3959
_cell_length_b 5.3959
_cell_length_c 5.3959
_cell_angle_alpha 90.00
_cell_angle_beta 90.00
_cell_angle_gamma 90.00
loop_
_atom_site_label
_atom_site_fract_x
_atom_site_fract_y
_atom_site_fract_z
_atom_site_occupancy
La1 0.0000 0.0000 0.5000 1
As1 0.5000 0.5000 0.5000 1
Ru1 0.0000 0.0000 0.0000 1
```

For the density of states at the Fermi level, the calculation gives 1.1098 states/eV/atom. The value obtained for the magnetization is 0.0 μB/f.u.

---

## 2
Entry from Alexandria via LeMat-Bulk: La3AsRu after structural relaxation (PBE).

The structure in CIF format:
```
data_La3AsRu
_symmetry_space_group_name_H-M 'P -1'
_symmetry_Int_Tables_number 2
_symmetry_space_group_name_Hall '-P 1'
_cell_length_a 5.5011
_cell_length_b 7.4916
_cell_length_c 8.1989
_cell_angle_alpha 65.42
_cell_angle_beta 76.44
_cell_angle_gamma 70.01
loop_
_atom_site_label
_atom_site_fract_x
_atom_site_fract_y
_atom_site_fract_z
_atom_site_occupancy
La1 0.0626 0.1202 0.1744 1
La2 0.3408 0.2119 0.6681 1
La3 0.3754 0.4838 0.2267 1
As1 0.1398 0.6938 0.5287 1
Ru1 0.4188 0.8365 0.9647 1
```

For the density of states at the Fermi level, the calculation gives 0.8752 states/eV/atom. The value obtained for the magnetization is 0.0 μB/f.u.

---

Which structure is the least stable? The one labeled 1.

---

## 1
Entry from Alexandria via LeMat-Bulk: La2AsRu2 after structural relaxation (PBE).

The structure in CIF format:
```
data_La2AsRu2
_symmetry_space_group_name_H-M 'P 4/m b m'
_symmetry_Int_Tables_number 127
_symmetry_space_group_name_Hall '-P 4 2ab'
_cell_length_a 7.0193
_cell_length_b 7.0193
_cell_length_c 4.4106
_cell_angle_alpha 90.00
_cell_angle_beta 90.00
_cell_angle_gamma 90.00
loop_
_atom_site_label
_atom_site_fract_x
_atom_site_fract_y
_atom_site_fract_z
_atom_site_occupancy
La1 0.1873 0.3127 0.0000 1
As1 0.0000 0.0000 0.5000 1
Ru1 0.1259 0.6259 0.5000 1
```

For the density of states at the Fermi level, the calculation gives 1.1730 states/eV/atom. The value obtained for the magnetization is 0.0 μB/f.u.

---

## 2
Entry from Alexandria via LeMat-Bulk: La2AsRu2 after structural relaxation (PBE).

The structure in CIF format:
```
data_La2AsRu2
_symmetry_space_group_name_H-M 'I 4/m m m'
_symmetry_Int_Tables_number 139
_symmetry_space_group_name_Hall '-I 4 2'
_cell_length_a 3.7029
_cell_length_b 3.7029
_cell_length_c 16.9949
_cell_angle_alpha 90.00
_cell_angle_beta 90.00
_cell_angle_gamma 90.00
loop_
_atom_site_label
_atom_site_fract_x
_atom_site_fract_y
_atom_site_fract_z
_atom_site_occupancy
La1 0.0000 0.0000 0.1037 1
As1 0.0000 0.0000 0.5000 1
Ru1 0.0000 0.5000 0.2500 1
```

For the density of states at the Fermi level, the calculation gives 1.1349 states/eV/atom. The value obtained for the magnetization is 0.4 μB/f.u.

---

## 3
Entry from Alexandria via LeMat-Bulk: La2AsRu2 after structural relaxation (PBE).

The structure in CIF format:
```
data_La2AsRu2
_symmetry_space_group_name_H-M 'P 4/m b m'
_symmetry_Int_Tables_number 127
_symmetry_space_group_name_Hall '-P 4 2ab'
_cell_length_a 8.1882
_cell_length_b 8.1882
_cell_length_c 3.3966
_cell_angle_alpha 90.00
_cell_angle_beta 90.00
_cell_angle_gamma 90.00
loop_
_atom_site_label
_atom_site_fract_x
_atom_site_fract_y
_atom_site_fract_z
_atom_site_occupancy
La1 0.1720 0.3280 0.0000 1
As1 0.0000 0.0000 0.0000 1
Ru1 0.1220 0.6220 0.5000 1
```

For the density of states at the Fermi level, the calculation gives 1.2831 states/eV/atom. The value obtained for the magnetization is 0.0 μB/f.u.

---

Which structure is the least stable? The one labeled 3.

---

## 1
Entry from Alexandria via LeMat-Bulk: LaAsS3 after structural relaxation (PBE).

The structure in CIF format:
```
data_LaAsS3
_symmetry_space_group_name_H-M 'P m -3 m'
_symmetry_Int_Tables_number 221
_symmetry_space_group_name_Hall '-P 4 2 3'
_cell_length_a 5.5368
_cell_length_b 5.5368
_cell_length_c 5.5368
_cell_angle_alpha 90.00
_cell_angle_beta 90.00
_cell_angle_gamma 90.00
loop_
_atom_site_label
_atom_site_fract_x
_atom_site_fract_y
_atom_site_fract_z
_atom_site_occupancy
La1 0.0000 0.0000 0.0000 1
As1 0.5000 0.5000 0.5000 1
S1 0.0000 0.0000 0.5000 1
```

For the density of states at the Fermi level, the calculation gives 1.1673 states/eV/atom. The value obtained for the magnetization is 0.0 μB/f.u.

---

## 2
Entry from Alexandria via LeMat-Bulk: LaAsS3 after structural relaxation (PBE).

The structure in CIF format:
```
data_LaAsS3
_symmetry_space_group_name_H-M 'P n a 21'
_symmetry_Int_Tables_number 33
_symmetry_space_group_name_Hall 'P 2c -2n'
_cell_length_a 7.4879
_cell_length_b 6.6639
_cell_length_c 9.5996
_cell_angle_alpha 90.00
_cell_angle_beta 90.00
_cell_angle_gamma 90.00
loop_
_atom_site_label
_atom_site_fract_x
_atom_site_fract_y
_atom_site_fract_z
_atom_site_occupancy
La1 0.1076 0.0391 0.0000 1
As1 0.0375 0.5347 0.2168 1
S1 0.0375 0.3587 0.4949 1
S2 0.1722 0.8204 0.3023 1
S3 0.2009 0.8445 0.6828 1
```

The value obtained for the magnetization is 0.0 μB/f.u.

---

## 3
Entry from Alexandria via LeMat-Bulk: LaAsS3 after structural relaxation (PBE).

The structure in CIF format:
```
data_LaAsS3
_symmetry_space_group_name_H-M 'P m -3 m'
_symmetry_Int_Tables_number 221
_symmetry_space_group_name_Hall '-P 4 2 3'
_cell_length_a 4.7973
_cell_length_b 4.7973
_cell_length_c 4.7973
_cell_angle_alpha 90.00
_cell_angle_beta 90.00
_cell_angle_gamma 90.00
loop_
_atom_site_label
_atom_site_fract_x
_atom_site_fract_y
_atom_site_fract_z
_atom_site_occupancy
La1 0.0000 0.0000 0.0000 1
As1 0.5000 0.5000 0.5000 1
S1 0.0000 0.5000 0.5000 1
```

For the density of states at the Fermi level, the calculation gives 0.0000 states/eV/atom. The value obtained for the magnetization is 0.0 μB/f.u.

---

Which structure is the least stable? The one labeled 1.

---

## 1
Entry from Alexandria via LeMat-Bulk: La2AsS after structural relaxation (PBE).

The structure in CIF format:
```
data_La2AsS
_symmetry_space_group_name_H-M 'F m -3 m'
_symmetry_Int_Tables_number 225
_symmetry_space_group_name_Hall '-F 4 2 3'
_cell_length_a 7.3208
_cell_length_b 7.3208
_cell_length_c 7.3208
_cell_angle_alpha 90.00
_cell_angle_beta 90.00
_cell_angle_gamma 90.00
loop_
_atom_site_label
_atom_site_fract_x
_atom_site_fract_y
_atom_site_fract_z
_atom_site_occupancy
La1 0.2500 0.2500 0.2500 1
As1 0.0000 0.0000 0.0000 1
S1 0.0000 0.0000 0.5000 1
```

For the density of states at the Fermi level, the calculation gives 0.5936 states/eV/atom. The value obtained for the magnetization is 0.0 μB/f.u.

---

## 2
Entry from Alexandria via LeMat-Bulk: La2AsS after structural relaxation (PBE).

The structure in CIF format:
```
data_La2AsS
_symmetry_space_group_name_H-M 'P 4/m m m'
_symmetry_Int_Tables_number 123
_symmetry_space_group_name_Hall '-P 4 2'
_cell_length_a 4.2757
_cell_length_b 4.2757
_cell_length_c 6.0387
_cell_angle_alpha 90.00
_cell_angle_beta 90.00
_cell_angle_gamma 90.00
loop_
_atom_site_label
_atom_site_fract_x
_atom_site_fract_y
_atom_site_fract_z
_atom_site_occupancy
La1 0.0000 0.0000 0.0000 1
La2 0.5000 0.5000 0.5000 1
As1 0.0000 0.0000 0.5000 1
S1 0.5000 0.5000 0.0000 1
```

For the density of states at the Fermi level, the calculation gives 0.3496 states/eV/atom. The value obtained for the magnetization is 0.0 μB/f.u.

---

Which structure is the least stable? The one labeled 1.

---

## 1
Entry from Alexandria via LeMat-Bulk: La2AsS after structural relaxation (PBE).

The structure in CIF format:
```
data_La2AsS
_symmetry_space_group_name_H-M 'R -3 m'
_symmetry_Int_Tables_number 166
_symmetry_space_group_name_Hall '-R 3 2"'
_cell_length_a 4.2844
_cell_length_b 4.2844
_cell_length_c 20.8191
_cell_angle_alpha 90.00
_cell_angle_beta 90.00
_cell_angle_gamma 120.00
loop_
_atom_site_label
_atom_site_fract_x
_atom_site_fract_y
_atom_site_fract_z
_atom_site_occupancy
La1 0.0000 0.0000 0.2490 1
As1 0.0000 0.0000 0.0000 1
S1 0.0000 0.0000 0.5000 1
```

For the density of states at the Fermi level, the calculation gives 0.4916 states/eV/atom. The value obtained for the magnetization is 0.0 μB/f.u.

---

## 2
Entry from Alexandria via LeMat-Bulk: La2AsS after structural relaxation (PBE).

The structure in CIF format:
```
data_La2AsS
_symmetry_space_group_name_H-M 'I -4 2 d'
_symmetry_Int_Tables_number 122
_symmetry_space_group_name_Hall 'I -4 2bw'
_cell_length_a 6.6210
_cell_length_b 6.6210
_cell_length_c 13.4471
_cell_angle_alpha 90.00
_cell_angle_beta 90.00
_cell_angle_gamma 90.00
loop_
_atom_site_label
_atom_site_fract_x
_atom_site_fract_y
_atom_site_fract_z
_atom_site_occupancy
La1 0.2414 0.2500 0.1250 1
As1 0.0000 0.0000 0.5000 1
S1 0.0000 0.0000 0.0000 1
```

For the density of states at the Fermi level, the calculation gives 0.4637 states/eV/atom. The value obtained for the magnetization is 1.0 μB/f.u.

---

Which structure is the least stable? The one labeled 2.